Entry 1:
Computed, not measured: LaRe2Rh after structural relaxation at the PBE-GGA level of DFT.

Structure (CIF):
```
data_LaRe2Rh
_chemical_formula_sum 'La2 Re4 Rh2'
_space_group_name_H-M_alt 'P 1'
_space_group_IT_number 1
_cell_length_a 5.390
_cell_length_b 9.520
_cell_length_c 2.824
_cell_angle_alpha 90.00
_cell_angle_beta 90.00
_cell_angle_gamma 90.00
loop_
_space_group_symop_operation_xyz
'x,y,z'
loop_
_atom_site_label
_atom_site_fract_x
_atom_site_fract_y
_atom_site_fract_z
La1 0.000 0.000 0.000
La2 0.500 0.500 0.000
Re1 0.250 0.250 0.500
Re2 0.250 0.750 0.500
Re3 0.750 0.250 0.500
Re4 0.750 0.750 0.500
Rh1 0.000 0.500 0.000
Rh2 0.500 0.000 0.000
```

- Electronic total energy: -69.4 eV per cell
- Offset from the most stable computed form: 0.529 eV per atom
- Spin magnetization: 0.00 μB/f.u.
- SG: No. 65
- Density of states at the Fermi level: 1.472 states/eV per atom
- ρ: 14.1 Mg/m³



Entry 2:
Computed, not measured: La2ReRh2 after structural relaxation at the PBE-GGA level of DFT.

Structure (CIF):
```
data_La2ReRh2
_chemical_formula_sum 'La4 Re2 Rh4'
_space_group_name_H-M_alt 'P 1'
_space_group_IT_number 1
_cell_length_a 6.898
_cell_length_b 6.898
_cell_length_c 4.623
_cell_angle_alpha 90.00
_cell_angle_beta 90.00
_cell_angle_gamma 90.00
loop_
_space_group_symop_operation_xyz
'x,y,z'
loop_
_atom_site_label
_atom_site_fract_x
_atom_site_fract_y
_atom_site_fract_z
La1 0.177 0.323 0.000
La2 0.323 0.823 0.000
La3 0.677 0.177 0.000
La4 0.823 0.677 0.000
Re1 0.000 0.000 0.500
Re2 0.500 0.500 0.500
Rh1 0.146 0.646 0.500
Rh2 0.354 0.146 0.500
Rh3 0.646 0.854 0.500
Rh4 0.854 0.354 0.500
```

- Electronic total energy: -75.6 eV per cell
- Spin magnetization: 0.00 μB/f.u.
- SG: No. 127
- Density of states at the Fermi level: 1.007 states/eV per atom
- ρ: 10.1 Mg/m³



Entry 3:
Computed, not measured: LaRe2Rh after structural relaxation at the PBE-GGA level of DFT.

Structure (CIF):
```
data_LaRe2Rh
_chemical_formula_sum 'La1 Re2 Rh1'
_space_group_name_H-M_alt 'P 1'
_space_group_IT_number 1
_cell_length_a 2.787
_cell_length_b 2.787
_cell_length_c 9.159
_cell_angle_alpha 90.00
_cell_angle_beta 90.00
_cell_angle_gamma 90.00
loop_
_space_group_symop_operation_xyz
'x,y,z'
loop_
_atom_site_label
_atom_site_fract_x
_atom_site_fract_y
_atom_site_fract_z
La1 0.000 0.000 0.000
Re1 0.500 0.500 0.291
Re2 0.500 0.500 0.709
Rh1 0.000 0.000 0.500
```

- Electronic total energy: -35.5 eV per cell
- Offset from the most stable computed form: 0.334 eV per atom
- Spin magnetization: 0.00 μB/f.u.
- SG: No. 123
- Density of states at the Fermi level: 1.300 states/eV per atom
- ρ: 14.3 Mg/m³



Entry 4:
Computed, not measured: LaReRh after structural relaxation at the PBE-GGA level of DFT.

Structure (CIF):
```
data_LaReRh
_chemical_formula_sum 'La2 Re2 Rh2'
_space_group_name_H-M_alt 'P 1'
_space_group_IT_number 1
_cell_length_a 2.893
_cell_length_b 3.923
_cell_length_c 10.831
_cell_angle_alpha 90.00
_cell_angle_beta 90.00
_cell_angle_gamma 90.00
loop_
_space_group_symop_operation_xyz
'x,y,z'
loop_
_atom_site_label
_atom_site_fract_x
_atom_site_fract_y
_atom_site_fract_z
La1 0.000 0.000 0.000
La2 0.500 0.500 0.500
Re1 0.000 0.000 0.294
Re2 0.500 0.500 0.794
Rh1 0.000 0.000 0.710
Rh2 0.500 0.500 0.210
```

- Electronic total energy: -48.7 eV per cell
- Offset from the most stable computed form: 0.092 eV per atom
- Spin magnetization: 0.00 μB/f.u.
- SG: No. 44
- Density of states at the Fermi level: 1.020 states/eV per atom
- ρ: 11.6 Mg/m³



Entry 5:
Computed, not measured: LaRe2Rh after structural relaxation at the PBE-GGA level of DFT.

Structure (CIF):
```
data_LaRe2Rh
_chemical_formula_sum 'La2 Re4 Rh2'
_space_group_name_H-M_alt 'P 1'
_space_group_IT_number 1
_cell_length_a 8.799
_cell_length_b 3.020
_cell_length_c 6.098
_cell_angle_alpha 90.00
_cell_angle_beta 100.38
_cell_angle_gamma 90.00
loop_
_space_group_symop_operation_xyz
'x,y,z'
loop_
_atom_site_label
_atom_site_fract_x
_atom_site_fract_y
_atom_site_fract_z
La1 0.000 0.000 0.000
La2 0.500 0.500 0.000
Re1 0.228 0.000 0.631
Re2 0.496 0.000 0.513
Re3 0.728 0.500 0.631
Re4 0.996 0.500 0.513
Rh1 0.263 0.500 0.283
Rh2 0.763 0.000 0.283
```

- Electronic total energy: -71.8 eV per cell
- Offset from the most stable computed form: 0.219 eV per atom
- Spin magnetization: 0.00 μB/f.u.
- SG: No. 8
- Density of states at the Fermi level: 1.204 states/eV per atom
- ρ: 12.8 Mg/m³



Entry 6:
Computed, not measured: LaReRh2 after structural relaxation at the PBE-GGA level of DFT.

Structure (CIF):
```
data_LaReRh2
_chemical_formula_sum 'La2 Re2 Rh4'
_space_group_name_H-M_alt 'P 1'
_space_group_IT_number 1
_cell_length_a 9.523
_cell_length_b 2.962
_cell_length_c 5.266
_cell_angle_alpha 90.00
_cell_angle_beta 99.49
_cell_angle_gamma 90.00
loop_
_space_group_symop_operation_xyz
'x,y,z'
loop_
_atom_site_label
_atom_site_fract_x
_atom_site_fract_y
_atom_site_fract_z
La1 0.000 0.000 0.000
La2 0.500 0.500 0.000
Re1 0.231 0.000 0.643
Re2 0.731 0.500 0.643
Rh1 0.001 0.500 0.514
Rh2 0.263 0.500 0.244
Rh3 0.501 0.000 0.514
Rh4 0.763 0.000 0.244
```

- Electronic total energy: -63.6 eV per cell
- Offset from the most stable computed form: 0.112 eV per atom
- Spin magnetization: 0.00 μB/f.u.
- SG: No. 8
- Density of states at the Fermi level: 1.246 states/eV per atom
- ρ: 12.0 Mg/m³



Entry 7:
Computed, not measured: LaReRh2 after structural relaxation at the PBE-GGA level of DFT.

Structure (CIF):
```
data_LaReRh2
_chemical_formula_sum 'La3 Re3 Rh6'
_space_group_name_H-M_alt 'P 1'
_space_group_IT_number 1
_cell_length_a 2.877
_cell_length_b 2.877
_cell_length_c 29.321
_cell_angle_alpha 90.00
_cell_angle_beta 90.00
_cell_angle_gamma 120.00
loop_
_space_group_symop_operation_xyz
'x,y,z'
loop_
_atom_site_label
_atom_site_fract_x
_atom_site_fract_y
_atom_site_fract_z
La1 0.000 0.000 0.000
La2 0.333 0.667 0.667
La3 0.667 0.333 0.333
Re1 0.000 0.000 0.765
Re2 0.333 0.667 0.431
Re3 0.667 0.333 0.098
Rh1 0.000 0.000 0.244
Rh2 0.000 0.000 0.500
Rh3 0.333 0.667 0.167
Rh4 0.333 0.667 0.911
Rh5 0.667 0.333 0.578
Rh6 0.667 0.333 0.834
```

- Electronic total energy: -91.3 eV per cell
- Offset from the most stable computed form: 0.459 eV per atom
- Spin magnetization: 0.42 μB/f.u.
- SG: No. 160
- Density of states at the Fermi level: 1.337 states/eV per atom
- ρ: 12.6 Mg/m³



Entry 8:
Computed, not measured: LaReRh after structural relaxation at the PBE-GGA level of DFT.

Structure (CIF):
```
data_LaReRh
_chemical_formula_sum 'La4 Re4 Rh4'
_space_group_name_H-M_alt 'P 1'
_space_group_IT_number 1
_cell_length_a 6.474
_cell_length_b 6.474
_cell_length_c 6.474
_cell_angle_alpha 90.00
_cell_angle_beta 90.00
_cell_angle_gamma 90.00
loop_
_space_group_symop_operation_xyz
'x,y,z'
loop_
_atom_site_label
_atom_site_fract_x
_atom_site_fract_y
_atom_site_fract_z
La1 0.000 0.000 0.000
La2 0.000 0.500 0.500
La3 0.500 0.000 0.500
La4 0.500 0.500 0.000
Re1 0.250 0.250 0.250
Re2 0.250 0.750 0.750
Re3 0.750 0.250 0.750
Re4 0.750 0.750 0.250
Rh1 0.250 0.250 0.750
Rh2 0.250 0.750 0.250
Rh3 0.750 0.250 0.250
Rh4 0.750 0.750 0.750
```

- Electronic total energy: -84.3 eV per cell
- Offset from the most stable computed form: 1.185 eV per atom
- Spin magnetization: 2.09 μB/f.u.
- SG: No. 216
- Density of states at the Fermi level: 0.858 states/eV per atom
- ρ: 10.5 Mg/m³



Entry 9:
Computed, not measured: LaRe2Rh after structural relaxation at the PBE-GGA level of DFT.

Structure (CIF):
```
data_LaRe2Rh
_chemical_formula_sum 'La4 Re8 Rh4'
_space_group_name_H-M_alt 'P 1'
_space_group_IT_number 1
_cell_length_a 4.716
_cell_length_b 4.716
_cell_length_c 17.795
_cell_angle_alpha 90.00
_cell_angle_beta 90.00
_cell_angle_gamma 90.00
loop_
_space_group_symop_operation_xyz
'x,y,z'
loop_
_atom_site_label
_atom_site_fract_x
_atom_site_fract_y
_atom_site_fract_z
La1 0.000 0.000 0.000
La2 0.000 0.500 0.250
La3 0.500 0.000 0.750
La4 0.500 0.500 0.500
Re1 0.042 0.750 0.625
Re2 0.250 0.042 0.375
Re3 0.250 0.458 0.875
Re4 0.458 0.750 0.125
Re5 0.542 0.250 0.125
Re6 0.750 0.542 0.875
Re7 0.750 0.958 0.375
Re8 0.958 0.250 0.625
Rh1 0.000 0.000 0.500
Rh2 0.000 0.500 0.750
Rh3 0.500 0.000 0.250
Rh4 0.500 0.500 0.000
```

- Electronic total energy: -137.8 eV per cell
- Offset from the most stable computed form: 0.582 eV per atom
- Spin magnetization: 0.00 μB/f.u.
- SG: No. 122
- Density of states at the Fermi level: 1.261 states/eV per atom
- ρ: 10.3 Mg/m³



Entry 10:
Computed, not measured: LaReRh2 after structural relaxation at the PBE-GGA level of DFT.

Structure (CIF):
```
data_LaReRh2
_chemical_formula_sum 'La1 Re1 Rh2'
_space_group_name_H-M_alt 'P 1'
_space_group_IT_number 1
_cell_length_a 4.261
_cell_length_b 4.261
_cell_length_c 3.974
_cell_angle_alpha 90.00
_cell_angle_beta 90.00
_cell_angle_gamma 90.00
loop_
_space_group_symop_operation_xyz
'x,y,z'
loop_
_atom_site_label
_atom_site_fract_x
_atom_site_fract_y
_atom_site_fract_z
La1 0.000 0.000 0.000
Re1 0.500 0.500 0.000
Rh1 0.000 0.500 0.500
Rh2 0.500 0.000 0.500
```

- Electronic total energy: -31.3 eV per cell
- Offset from the most stable computed form: 0.234 eV per atom
- Spin magnetization: 0.76 μB/f.u.
- SG: No. 123
- Density of states at the Fermi level: 1.331 states/eV per atom
- ρ: 12.2 Mg/m³



Entry 11:
Computed, not measured: LaReRh after structural relaxation at the PBE-GGA level of DFT.

Structure (CIF):
```
data_LaReRh
_chemical_formula_sum 'La4 Re4 Rh4'
_space_group_name_H-M_alt 'P 1'
_space_group_IT_number 1
_cell_length_a 6.434
_cell_length_b 6.434
_cell_length_c 6.434
_cell_angle_alpha 90.00
_cell_angle_beta 90.00
_cell_angle_gamma 90.00
loop_
_space_group_symop_operation_xyz
'x,y,z'
loop_
_atom_site_label
_atom_site_fract_x
_atom_site_fract_y
_atom_site_fract_z
La1 0.000 0.000 0.000
La2 0.000 0.500 0.500
La3 0.500 0.000 0.500
La4 0.500 0.500 0.000
Re1 0.250 0.250 0.250
Re2 0.250 0.750 0.750
Re3 0.750 0.250 0.750
Re4 0.750 0.750 0.250
Rh1 0.000 0.000 0.500
Rh2 0.000 0.500 0.000
Rh3 0.500 0.000 0.000
Rh4 0.500 0.500 0.500
```

- Electronic total energy: -92.2 eV per cell
- Offset from the most stable computed form: 0.525 eV per atom
- Spin magnetization: 0.00 μB/f.u.
- SG: No. 216
- Density of states at the Fermi level: 1.606 states/eV per atom
- ρ: 10.7 Mg/m³



Entry 12:
Computed, not measured: LaRe2Rh after structural relaxation at the PBE-GGA level of DFT.

Structure (CIF):
```
data_LaRe2Rh
_chemical_formula_sum 'La2 Re4 Rh2'
_space_group_name_H-M_alt 'P 1'
_space_group_IT_number 1
_cell_length_a 3.826
_cell_length_b 3.826
_cell_length_c 10.426
_cell_angle_alpha 90.00
_cell_angle_beta 90.00
_cell_angle_gamma 90.00
loop_
_space_group_symop_operation_xyz
'x,y,z'
loop_
_atom_site_label
_atom_site_fract_x
_atom_site_fract_y
_atom_site_fract_z
La1 0.000 0.000 0.000
La2 0.500 0.500 0.500
Re1 0.000 0.500 0.250
Re2 0.000 0.500 0.750
Re3 0.500 0.000 0.250
Re4 0.500 0.000 0.750
Rh1 0.000 0.000 0.500
Rh2 0.500 0.500 0.000
```

- Electronic total energy: -69.7 eV per cell
- Offset from the most stable computed form: 0.484 eV per atom
- Spin magnetization: 0.00 μB/f.u.
- SG: No. 139
- Density of states at the Fermi level: 1.236 states/eV per atom
- ρ: 13.4 Mg/m³



> Which value of density of states at the Fermi level does entry 10 give?

1.331 states/eV per atom